No. 1
Here is a crystal of MgSbTeI2 relaxed with PBEsol from Alexandria. Energies are from SCAN.

## Properties
Calculated volume, Å³ per cell: 199.3
Total magnetization, Bohr magnetons per cell: 0.000
E_form (uncorrected), eV/atom: 0.400

a b c (Å): 5.855 5.834 5.834
angles (deg): 90.00 90.00 90.00
Sites, in units of the cell vectors:
I  0.000  0.000  0.500
I  0.000  0.500  0.000
Sb  0.500  0.000  0.000
Mg  0.500  0.500  0.500
Te  0.000  0.000  0.000


No. 2
Here is a crystal of LaTc2Rh relaxed with PBEsol from Alexandria. Energies are from SCAN.

## Properties
Calculated volume, Å³ per cell: 69.2
Total magnetization, Bohr magnetons per cell: 0.000
Energy relative to the elements, meV per atom: 361

a b c (Å): 3.129 4.461 4.960
angles (deg): 90.00 90.00 90.00
Sites, in units of the cell vectors:
La  0.500  0.000  0.500
Rh  0.000  0.500  0.500
Tc  0.500  0.500  0.000
Tc  0.000  0.000  0.000


No. 3
Here is a crystal of Tb3Cu4Ge4 relaxed with PBEsol from Alexandria. Energies are from SCAN.

## Properties
Calculated volume, Å³ per cell: 194.1
Total magnetization, Bohr magnetons per cell: 0.000
Energy relative to the elements, meV per atom: -697

a b c (Å): 3.950 4.070 12.399
angles (deg): 99.45 99.17 90.00
Sites, in units of the cell vectors:
Ge  0.692  0.692  0.385
Ge  0.308  0.308  0.615
Ge  0.449  0.949  0.898
Ge  0.551  0.051  0.102
Cu  0.749  0.249  0.498
Cu  0.596  0.596  0.192
Cu  0.251  0.751  0.502
Cu  0.404  0.404  0.808
Tb  0.850  0.850  0.700
Tb  0.150  0.150  0.300
Tb  0.000  0.500  0.000


No. 4
Here is a crystal of CaCuNi4 relaxed with PBEsol from Alexandria. Energies are from SCAN.

## Properties
Calculated volume, Å³ per cell: 77.1
Total magnetization, Bohr magnetons per cell: 0.000
Energy relative to the elements, meV per atom: 47

a b c (Å): 4.777 4.777 4.777
angles (deg): 60.00 60.00 60.00
Sites, in units of the cell vectors:
Ni  0.374  0.374  0.374
Ni  0.374  0.374  0.877
Ni  0.374  0.877  0.374
Ni  0.877  0.374  0.374
Ca  0.750  0.750  0.750
Cu  0.000  0.000  0.000


No. 5
Here is a crystal of Li3Sc relaxed with PBEsol from Alexandria. Energies are from SCAN.

## Properties
Calculated volume, Å³ per cell: 84.4
Total magnetization, Bohr magnetons per cell: 0.310
Energy relative to the elements, meV per atom: 102

a b c (Å): 3.097 3.097 10.163
angles (deg): 90.00 90.00 120.00
Sites, in units of the cell vectors:
Sc  0.333  0.667  0.500
Li  0.333  0.667  0.000
Li  0.000  0.000  0.755
Li  0.000  0.000  0.245


No. 6
Here is a crystal of Ca2FeN2 relaxed with PBEsol from Alexandria. Energies are from SCAN.

## Properties
Calculated volume, Å³ per cell: 147.6
Total magnetization, Bohr magnetons per cell: 4.013
E_form (uncorrected), eV/atom: -0.872

a b c (Å): 4.913 5.880 6.441
angles (deg): 64.23 67.58 65.31
Sites, in units of the cell vectors:
Fe  0.373  0.125  0.129
Fe  0.627  0.875  0.871
N  0.519  0.764  0.198
N  0.191  0.238  0.380
N  0.809  0.762  0.620
N  0.481  0.236  0.802
Ca  0.039  0.697  0.225
Ca  0.961  0.303  0.775
Ca  0.681  0.245  0.393
Ca  0.319  0.755  0.607


No. 7
Here is a crystal of KLi2Se2 relaxed with PBEsol from Alexandria. Energies are from SCAN.

## Properties
Calculated volume, Å³ per cell: 196.3
Total magnetization, Bohr magnetons per cell: 0.000
E_form (uncorrected), eV/atom: -1.113

a b c (Å): 3.088 7.972 7.972
angles (deg): 90.00 90.00 90.00
Sites, in units of the cell vectors:
Li  0.000  0.879  0.621
Li  0.000  0.621  0.121
Li  0.000  0.121  0.379
Li  0.000  0.379  0.879
Se  0.500  0.170  0.670
Se  0.500  0.330  0.170
Se  0.500  0.670  0.830
Se  0.500  0.830  0.330
K  0.000  0.500  0.500
K  0.000  0.000  0.000


No. 8
Here is a crystal of KSbAs2 relaxed with PBEsol from Alexandria. Energies are from SCAN.

## Properties
Calculated volume, Å³ per cell: 94.2
Total magnetization, Bohr magnetons per cell: 0.019
E_form (uncorrected), eV/atom: 0.209

a b c (Å): 4.420 4.420 5.745
angles (deg): 112.62 112.62 90.00
Sites, in units of the cell vectors:
As  0.750  0.250  0.500
As  0.000  0.000  0.000
Sb  0.250  0.750  0.500
K  0.500  0.500  0.000


No. 9
Here is a crystal of Os5W relaxed with PBEsol from Alexandria. Energies are from SCAN.

## Properties
Calculated volume, Å³ per cell: 85.5
Total magnetization, Bohr magnetons per cell: 0.000
Energy relative to the elements, meV per atom: -24

a b c (Å): 2.747 5.146 6.462
angles (deg): 103.21 90.00 105.48
Sites, in units of the cell vectors:
Os  0.390  0.781  0.279
Os  0.998  0.996  0.000
Os  0.054  0.108  0.609
Os  0.335  0.669  0.665
Os  0.667  0.334  0.335
W  0.722  0.444  0.946


No. 10
Here is a crystal of LaInW2I relaxed with PBEsol from Alexandria. Energies are from SCAN.

## Properties
Calculated volume, Å³ per cell: 137.6
Total magnetization, Bohr magnetons per cell: 0.000
E_form (uncorrected), eV/atom: 1.919

a b c (Å): 4.912 4.912 5.702
angles (deg): 90.00 90.00 90.00
Sites, in units of the cell vectors:
W  0.000  0.500  0.000
W  0.500  0.000  0.000
I  0.000  0.000  0.000
La  0.000  0.000  0.500
In  0.500  0.500  0.500


No. 11
Here is a crystal of BaCoPO2 relaxed with PBEsol from Alexandria. Energies are from SCAN.

## Properties
Calculated volume, Å³ per cell: 118.4
Total magnetization, Bohr magnetons per cell: 3.527
E_form (uncorrected), eV/atom: 0.531

a b c (Å): 4.205 4.205 6.694
angles (deg): 90.00 90.00 90.00
Sites, in units of the cell vectors:
O  0.000  0.500  0.000
O  0.500  0.000  0.000
Co  0.500  0.500  0.500
Ba  0.000  0.000  0.000
P  0.000  0.000  0.500


No. 12
Here is a crystal of GaCo2CF relaxed with PBEsol from Alexandria. Energies are from SCAN.

## Properties
Calculated volume, Å³ per cell: 59.5
Total magnetization, Bohr magnetons per cell: 3.684
E_form (uncorrected), eV/atom: 1.074

a b c (Å): 3.728 3.728 4.285
angles (deg): 90.00 90.00 90.00
Sites, in units of the cell vectors:
Co  0.000  0.500  0.000
Co  0.500  0.000  0.000
Ga  0.500  0.500  0.500
C  0.000  0.000  0.500
F  0.000  0.000  0.000


No. 13
Here is a crystal of Ba7Mg relaxed with PBEsol from Alexandria. Energies are from SCAN.

## Properties
Calculated volume, Å³ per cell: 419.8
Total magnetization, Bohr magnetons per cell: 1.830
Energy relative to the elements, meV per atom: 82

a b c (Å): 8.405 8.405 8.405
angles (deg): 60.00 60.00 60.00
Sites, in units of the cell vectors:
Ba  0.500  0.500  0.000
Ba  0.500  0.000  0.000
Ba  0.000  0.000  0.500
Ba  0.000  0.500  0.000
Ba  0.500  0.500  0.500
Ba  0.500  0.000  0.500
Ba  0.000  0.500  0.500
Mg  0.000  0.000  0.000